## Ag2TeP (PBE-GGA)

Data for a relaxed Ag2TeP crystal.

Cell: 6.1898 6.1898 11.0399 Å, 90.00 90.00 90.00°
Last column: nearest neighbours and their distance in Å.
Space group I-42d (No. 122)
Asymmetric unit:
1 Ag 0.2032 0.2500 0.1250 [8 per cell]  2 P 2.43
2 Te 0.0000 0.0000 0.5000 [4 per cell]  4 Ag 2.77
3 P 0.0000 0.0000 0.0000 [4 per cell]  4 Ag 2.43

- D(E_F): 14.180 states/eV per cell
- Total DFT energy (no corrections): -51.37 eV for the cell shown
- Raw formation energy: 0.35 eV per atom
- Crystal system: tetragonal